(1)
First-principles (GGA-PBE) data for a relaxed K2BiPdPb crystal, as listed in Alexandria via LeMat-Bulk.

```
K2BiPdPb
1.0
5.9547 0.0000 0.0000
0.0000 5.9547 0.0000
0.0000 0.0000 5.2238
K Bi Pd Pb
2 1 1 1
direct
0.0000 0.5000 0.0000
0.5000 0.0000 0.0000
0.0000 0.0000 0.5000
0.0000 0.0000 0.0000
0.5000 0.5000 0.5000
```

The formation energy comes out at 0.06 eV/f.u. As for the total energy: -2.98 eV per atom. The crystal system is tetragonal. Its calculated volume is 185.23 Å³/cell.

---

(2)
First-principles (GGA-PBE) data for a relaxed SrVPd3 crystal, as listed in Alexandria via LeMat-Bulk.

```
SrVPd3
1.0
4.7928 0.0000 0.0000
0.0000 4.7928 0.0000
0.0000 0.0000 4.7928
Sr V Pd
1 1 3
direct
0.0000 0.0000 0.0000
0.5000 0.5000 0.5000
0.0000 0.5000 0.5000
0.5000 0.0000 0.5000
0.5000 0.5000 0.0000
```

The formation energy comes out at 0.13 eV/f.u. As for the total energy: -5.25 eV per atom. The crystal system is cubic. Its calculated volume is 110.10 Å³/cell. For the energy above the lowest structure with this stoichiometry, the calculation gives 0.000 eV per atom.

---

(3)
First-principles (GGA-PBE) data for a relaxed KPbO2F crystal, as listed in Alexandria via LeMat-Bulk.

```
KPbO2F
1.0
4.3076 0.0000 0.0000
0.0000 4.3076 0.0000
0.0000 0.0000 4.6397
K Pb O F
1 1 2 1
direct
0.0000 0.0000 0.0000
0.5000 0.5000 0.5000
0.0000 0.5000 0.5000
0.5000 0.0000 0.5000
0.5000 0.5000 0.0000
```

The uncorrected formation energy comes out at -7.2 eV per formula unit. As for the total energy: -4.75 eV per atom. The crystal system is tetragonal. Its calculated volume is 86.09 Å³/cell.

---

(4)
First-principles (GGA-PBE) data for a relaxed Ce2AlAu crystal, as listed in Alexandria via LeMat-Bulk.

```
Ce2AlAu
1.0
0.0000 3.7022 3.7022
3.7022 0.0000 3.7022
3.7022 3.7022 0.0000
Ce Al Au
2 1 1
direct
0.2500 0.2500 0.2500
0.7500 0.7500 0.7500
0.0000 0.0000 0.0000
0.5000 0.5000 0.5000
```

The formation energy comes out at -1.35 eV/f.u. As for the total energy: -5.06 eV per atom. The crystal system is cubic. Its calculated volume is 101.49 Å³/cell. For the energy above the lowest structure with this stoichiometry, the calculation gives 0.111 eV per atom.

---

(5)
First-principles (GGA-PBE) data for a relaxed AcTb2Pm4Pr crystal, as listed in Alexandria via LeMat-Bulk.

```
AcTb2Pm4Pr
1.0
5.1892 0.0000 0.0000
0.0000 5.2102 0.0000
-0.0178 0.0000 10.4111
Ac Tb Pm Pr
1 2 4 1
direct
0.0000 0.0000 0.0000
0.0000 0.0000 0.5000
0.5000 0.5000 0.0000
0.9999 0.5000 0.2549
0.0001 0.5000 0.7451
0.5004 0.0000 0.2559
0.4996 0.0000 0.7441
0.5000 0.5000 0.5000
```

The formation energy comes out at 0.23 eV/f.u. As for the total energy: -4.62 eV per atom. The crystal system is monoclinic. Its calculated volume is 281.48 Å³/cell.

---

(6)
First-principles (GGA-PBE) data for a relaxed Tm2ThOs crystal, as listed in Alexandria via LeMat-Bulk.

```
Tm2ThOs
1.0
1.9483 -6.0030 0.0000
1.9483 6.0030 0.0000
0.0000 0.0000 9.1723
Tm Th Os
4 2 2
direct
0.1469 0.8531 0.5693
0.1469 0.8531 0.9307
0.8531 0.1469 0.0693
0.8531 0.1469 0.4307
0.4270 0.5730 0.7500
0.5730 0.4270 0.2500
0.2376 0.7624 0.2500
0.7624 0.2376 0.7500
```

The formation energy comes out at -1.02 eV/f.u. As for the total energy: -7.15 eV per atom. The crystal system is orthorhombic. Its calculated volume is 214.56 Å³/cell. For the energy above the lowest structure with this stoichiometry, the calculation gives 0.049 eV per atom.

---

Which value of calculated volume does entry 1 give?
185.23 Å³/cell